PuMnPb2O6: relaxed, GGA+U.

Total magnetic moment in μB per formula unit: 7.00
Raw total energy in eV per atom: -7.7235

a = 5.8752 Å, b = 6.0497 Å, c = 5.8754 Å
α = 59.70°, β = 60.50°, γ = 59.70°
Closest atoms and distances in Å follow each position.
Element x y z (fractional)
Pu 0.3162 0.3161 0.0515  6 O 1.98-2.17
Mn 0.8162 0.8161 0.5516  6 O 2.16-2.25
Pb 0.5635 0.6070 0.2987  5 O 2.53-2.78
Pb 0.0690 0.0254 0.8042  5 O 2.54-2.78
O 0.5505 0.1597 0.2857  1 Pu 1.98
O 0.1189 0.0132 0.3564  1 Mn 2.16, 1 Pu 2.17
O 0.0112 0.6191 0.2489  1 Mn 2.16, 1 Pu 2.17
O 0.5134 0.6192 0.7467  1 Mn 2.16, 1 Pu 2.17
O 0.6211 0.0132 0.8541  1 Mn 2.16, 1 Pu 2.17
O 0.0817 0.4726 0.8174  1 Pu 1.98